# 1
First-principles (GGA-PBE) data for crystalline Pr2BiSe at its relaxed geometry, as listed in the Alexandria database.

As for the final energy: -5.55 eV per atom. The energy above the most stable polymorph in this dataset is 0.066 eV/atom. For the total moment, the calculation gives 0.00 μB/f.u. For the density of states at the Fermi level, the calculation gives 0.710 states/eV/atom. The uncorrected formation energy comes out at -508.3 kJ/mol of formula units.

The structure belongs to space group R3m (No. 160, hexagonal axes); the cell edges are 4.3878, 4.3878 and 22.8083 Å and the angles 90.00°, 90.00° and 120.00°. The asymmetric unit holds Pr at (0.0000, 0.0000, 0.0000), Pr at (0.0000, 0.0000, 0.1828), Bi at (0.0000, 0.0000, 0.4247) and Se at (0.0000, 0.0000, 0.5942).

=====

# 2
First-principles (GGA-PBE) data for crystalline Pr3BiSe2 at its relaxed geometry, as listed in the Alexandria database.

As for the final energy: -5.47 eV per atom. The energy above the most stable polymorph in this dataset is 0.246 eV/atom. For the total moment, the calculation gives 0.00 μB/f.u. For the density of states at the Fermi level, the calculation gives 0.870 states/eV/atom. The uncorrected formation energy comes out at -738.8 kJ/mol of formula units.

The structure belongs to space group Cmcm (No. 63); the cell edges are 4.6525, 14.6526 and 10.9759 Å and the angles 90.00°, 90.00° and 90.00°. The asymmetric unit holds Pr at (0.0000, 0.0922, 0.2500), Pr at (0.0000, 0.3557, 0.0529), Bi at (0.0000, 0.2440, 0.7500), Se at (0.0000, 0.0000, 0.0000) and Se at (0.0000, 0.4819, 0.2500).

=====

# 3
First-principles (GGA-PBE) data for crystalline Pr4BiSe2 at its relaxed geometry, as listed in the Alexandria database.

As for the final energy: -5.60 eV per atom. For the total moment, the calculation gives 0.01 μB/f.u. For the density of states at the Fermi level, the calculation gives 0.824 states/eV/atom. The uncorrected formation energy comes out at -889.6 kJ/mol of formula units.

The structure belongs to space group Cmcm (No. 63); the cell edges are 4.3466, 13.9914 and 14.4087 Å and the angles 90.00°, 90.00° and 90.00°. The asymmetric unit holds Pr at (0.0000, 0.0000, 0.0000), Pr at (0.0000, 0.2691, 0.1193), Pr at (0.0000, 0.4366, 0.7500), Bi at (0.0000, 0.1071, 0.7500) and Se at (0.0000, 0.3649, 0.5605).

=====

> Which of these has the lowest uncorrected formation energy?

Pr4BiSe2

=====

> What is the formula in the first record?

Pr2BiSe

=====

What did the second record say?
First-principles (GGA-PBE) data for crystalline Pr3BiSe2 at its relaxed geometry, as listed in the Alexandria database.

As for the final energy: -5.47 eV per atom. The energy above the most stable polymorph in this dataset is 0.246 eV/atom. For the total moment, the calculation gives 0.00 μB/f.u. For the density of states at the Fermi level, the calculation gives 0.870 states/eV/atom. The uncorrected formation energy comes out at -738.8 kJ/mol of formula units.

The structure belongs to space group Cmcm (No. 63); the cell edges are 4.6525, 14.6526 and 10.9759 Å and the angles 90.00°, 90.00° and 90.00°. The asymmetric unit holds Pr at (0.0000, 0.0922, 0.2500), Pr at (0.0000, 0.3557, 0.0529), Bi at (0.0000, 0.2440, 0.7500), Se at (0.0000, 0.0000, 0.0000) and Se at (0.0000, 0.4819, 0.2500).